## CsRb2TeS (PBE)

Data for CsRb2TeS after structural relaxation.

Cell lengths 6.355, 6.355, 6.458 Å; angles 90.00, 90.00, 90.00 degrees
Atoms (fractional coordinates):
Rb: 0.000 0.500 0.000
Cs: 0.000 0.000 0.500
Te: 0.500 0.500 0.500
Rb: 0.500 0.000 0.000
S: 0.000 0.000 0.000

Raw total energy   -2.746 eV/atom
Energy relative to the elements, uncorrected   -0.73 eV per atom

=====

## Ac8Tb2Tm3 (PBE)

Data for Ac8Tb2Tm3 after structural relaxation.

Cell lengths 6.088, 11.137, 11.137 Å; angles 44.97, 89.98, 89.98 degrees
Atoms (fractional coordinates):
Ac: 0.500 0.600 0.191
Tm: 0.000 0.700 0.300
Tb: 0.500 0.763 0.763
Ac: 0.500 0.400 0.809
Ac: 0.000 0.676 0.676
Ac: 0.500 0.191 0.600
Ac: 0.000 0.875 0.875
Tm: 0.000 0.300 0.700
Ac: 0.000 0.324 0.324
Ac: 0.500 0.809 0.400
Ac: 0.000 0.125 0.125
Tb: 0.500 0.237 0.237
Tm: 0.500 0.000 0.000

Raw total energy   -4.041 eV/atom
Energy of formation from the pure elements   0.232 eV per atom

=====

## KIrPbCl6 (PBE)

Data for KIrPbCl6 after structural relaxation.

Cell lengths 7.080, 7.080, 12.860 Å; angles 90.00, 90.00, 120.00 degrees
Atoms (fractional coordinates):
Cl: 0.340 0.942 0.642
Cl: 0.058 0.398 0.642
Ir: 0.333 0.667 0.750
Cl: 0.602 0.660 0.642
Cl: 0.660 0.058 0.358
K: 0.000 0.000 0.000
Cl: 0.942 0.602 0.358
Cl: 0.660 0.602 0.142
Cl: 0.398 0.340 0.358
Cl: 0.340 0.398 0.858
Cl: 0.058 0.660 0.858
Cl: 0.942 0.340 0.142
Pb: 0.333 0.667 0.250
Pb: 0.667 0.333 0.750
Cl: 0.602 0.942 0.858
Ir: 0.667 0.333 0.250
Cl: 0.398 0.058 0.142
K: 0.000 0.000 0.500

Raw total energy   -3.777 eV/atom
Energy relative to the elements, uncorrected   -1.03 eV per atom

=====

## Pm2TlPb3 (PBE)

Data for Pm2TlPb3 after structural relaxation.

Cell lengths 3.483, 5.909, 9.995 Å; angles 107.19, 100.03, 90.00 degrees
Atoms (fractional coordinates):
Pm: 0.654 0.654 0.309
Pb: 0.000 0.500 0.000
Pm: 0.346 0.346 0.691
Pb: 0.829 0.829 0.657
Tl: 0.000 0.000 0.000
Pb: 0.171 0.171 0.343

Raw total energy   -3.988 eV/atom
Energy of formation from the pure elements   -0.156 eV per atom